## 1
Entry from Alexandria: a geometry-optimized Sm2HoSc2 structure (GGA-PBE).

Computed properties:
Symmetry ... C2/c, No. 15

Cell: 8.990 8.990 5.610 Å, 108.15 108.15 120.89°
Positions (direct):
Sm1 0.186 0.312 0.499
Sm2 0.312 0.186 0.999
Sm3 0.688 0.814 0.001
Sm4 0.814 0.688 0.501
Ho1 0.148 0.852 0.250
Ho2 0.852 0.148 0.750
Sc1 0.255 0.745 0.750
Sc2 0.369 0.631 0.250
Sc3 0.631 0.369 0.750
Sc4 0.745 0.255 0.250

---

## 2
Entry from Alexandria: a geometry-optimized Sm2HoSc2 structure (GGA-PBE).

Computed properties:
Symmetry ... Imma, No. 74

Cell: 9.170 9.170 9.170 Å, 145.24 136.56 56.79°
Positions (direct):
Sm1 0.251 0.001 0.250
Sm2 0.376 0.626 0.750
Sm3 0.624 0.374 0.250
Sm4 0.749 0.999 0.750
Ho1 0.124 0.374 0.750
Ho2 0.876 0.626 0.250
Sc1 0.189 0.193 0.997
Sc2 0.304 0.807 0.497
Sc3 0.696 0.193 0.503
Sc4 0.811 0.807 0.003

---

What should be chosen as the most stable of them? Choose 2.

---

## 1
Entry from Alexandria: a geometry-optimized Sm4HoSc structure (GGA-PBE).

Computed properties:
Symmetry ... C2/m, No. 12

Cell: 6.135 6.135 6.153 Å, 99.58 99.58 119.79°
Positions (direct):
Sm1 0.164 0.836 0.000
Sm2 0.334 0.666 0.500
Sm3 0.666 0.334 0.500
Sm4 0.836 0.164 0.000
Ho1 0.500 0.500 0.000
Sc1 0.000 0.000 0.500

---

## 2
Entry from Alexandria: a geometry-optimized Sm4HoSc structure (GGA-PBE).

Computed properties:
Symmetry ... Cmmm, No. 65

Cell: 8.063 8.063 3.433 Å, 90.00 90.00 90.23°
Positions (direct):
Sm1 0.233 0.767 0.000
Sm2 0.254 0.254 0.500
Sm3 0.746 0.746 0.500
Sm4 0.767 0.233 0.000
Ho1 0.500 0.500 0.000
Sc1 0.000 0.000 0.500

---

What should be chosen as the most stable of them? Choose 1.

---

## 1
Entry from Alexandria: a geometry-optimized Sm4Ho2Sc structure (GGA-PBE).

Computed properties:
Symmetry ... Fdd2, No. 43

Cell: 12.324 6.692 13.283 Å, 67.05 30.00 82.96°
Positions (direct):
Sm1 0.144 0.287 0.070
Sm2 0.180 0.751 0.106
Sm3 0.287 0.144 0.499
Sm4 0.379 0.621 0.483
Sm5 0.621 0.379 0.517
Sm6 0.733 0.767 0.629
Sm7 0.751 0.180 0.963
Sm8 0.767 0.733 0.871
Ho1 0.205 0.685 0.364
Ho2 0.504 0.886 0.565
Ho3 0.685 0.205 0.746
Ho4 0.886 0.504 0.045
Sc1 0.004 0.004 0.996
Sc2 0.254 0.254 0.246

---

## 2
Entry from Alexandria: a geometry-optimized Sm4Ho2Sc structure (GGA-PBE).

Computed properties:
Symmetry ... P2_1/m, No. 11

Cell: 6.116 6.576 11.421 Å, 90.00 104.92 90.00°
Positions (direct):
Sm1 0.045 0.250 0.371
Sm2 0.152 0.250 0.945
Sm3 0.358 0.510 0.215
Sm4 0.358 0.990 0.215
Sm5 0.642 0.010 0.785
Sm6 0.642 0.490 0.785
Sm7 0.848 0.750 0.055
Sm8 0.955 0.750 0.629
Ho1 0.281 0.750 0.920
Ho2 0.387 0.750 0.503
Ho3 0.613 0.250 0.497
Ho4 0.719 0.250 0.080
Sc1 0.147 0.250 0.664
Sc2 0.853 0.750 0.336

---

What should be chosen as the most stable of them? Choose 1.

---

## 1
Entry from Alexandria: a geometry-optimized Sm4Ho5Sc structure (GGA-PBE).

Computed properties:
Symmetry ... I4mm, No. 107

Cell: 8.051 8.051 8.051 Å, 97.43 97.43 137.84°
Positions (direct):
Sm1 0.000 0.322 0.322
Sm2 0.000 0.678 0.678
Sm3 0.322 0.000 0.322
Sm4 0.678 0.000 0.678
Ho1 0.230 0.230 0.000
Ho2 0.327 0.327 0.627
Ho3 0.327 0.700 0.000
Ho4 0.700 0.327 0.000
Ho5 0.700 0.700 0.373
Sc1 0.757 0.757 0.000

---

## 2
Entry from Alexandria: a geometry-optimized Sm4Ho5Sc structure (GGA-PBE).

Computed properties:
Symmetry ... C2/m, No. 12

Cell: 8.936 8.936 10.933 Å, 106.87 106.87 22.32°
Positions (direct):
Sm1 0.091 0.091 0.306
Sm2 0.304 0.304 0.416
Sm3 0.696 0.696 0.584
Sm4 0.909 0.909 0.694
Ho1 0.106 0.106 0.788
Ho2 0.207 0.207 0.097
Ho3 0.500 0.500 0.000
Ho4 0.793 0.793 0.903
Ho5 0.894 0.894 0.212
Sc1 0.500 0.500 0.500

---

What should be chosen as the most stable of them? Choose 2.

---

## 1
Entry from Alexandria: a geometry-optimized Sm2Ho5Sc2 structure (GGA-PBE).

Computed properties:
Symmetry ... Ima2, No. 46

Cell: 10.219 10.219 10.219 Å, 85.09 104.68 146.33°
Positions (direct):
Sm1 0.000 0.000 0.000
Sm2 0.000 0.500 0.500
Sm3 0.809 0.607 0.702
Sm4 0.905 0.107 0.298
Ho1 0.072 0.524 0.833
Ho2 0.072 0.739 0.049
Ho3 0.142 0.075 0.567
Ho4 0.362 0.087 0.361
Ho5 0.362 0.501 0.776
Ho6 0.508 0.575 0.433
Ho7 0.690 0.024 0.951
Ho8 0.690 0.239 0.167
Ho9 0.725 0.001 0.639
Ho10 0.725 0.587 0.224
Sc1 0.344 0.540 0.094
Sc2 0.344 0.750 0.304
Sc3 0.446 0.040 0.696
Sc4 0.446 0.250 0.906

---

## 2
Entry from Alexandria: a geometry-optimized Sm2Ho5Sc2 structure (GGA-PBE).

Computed properties:
Symmetry ... P-1, No. 2

Cell: 6.035 6.040 9.233 Å, 90.06 109.04 119.89°
Positions (direct):
Sm1 0.164 0.335 0.000
Sm2 0.836 0.665 0.000
Ho1 0.061 0.112 0.337
Ho2 0.276 0.557 0.663
Ho3 0.500 0.000 0.000
Ho4 0.724 0.443 0.337
Ho5 0.939 0.888 0.663
Sc1 0.393 0.782 0.339
Sc2 0.607 0.218 0.661

---

What should be chosen as the most stable of them? Choose 2.

---

## 1
Entry from Alexandria: a geometry-optimized HoScSn2 structure (GGA-PBE).

Computed properties:
Symmetry ... R-3m, No. 166

Cell: 9.225 9.225 9.225 Å, 22.93 22.93 22.93°
Positions (direct):
Ho1 0.000 0.000 0.000
Sc1 0.500 0.500 0.500
Sn1 0.246 0.246 0.246
Sn2 0.754 0.754 0.754

---

## 2
Entry from Alexandria: a geometry-optimized HoScSn2 structure (GGA-PBE).

Computed properties:
Symmetry ... P4/mmm, No. 123

Cell: 3.877 3.877 6.630 Å, 90.00 90.00 90.00°
Positions (direct):
Ho1 0.000 0.000 0.000
Sc1 0.000 0.000 0.500
Sn1 0.500 0.500 0.270
Sn2 0.500 0.500 0.730

---

## 3
Entry from Alexandria: a geometry-optimized HoScSn2 structure (GGA-PBE).

Computed properties:
Symmetry ... P4/mmm, No. 123

Cell: 4.737 4.737 4.357 Å, 90.00 90.00 90.00°
Positions (direct):
Ho1 0.000 0.000 0.000
Sc1 0.500 0.500 0.000
Sn1 0.000 0.500 0.500
Sn2 0.500 0.000 0.500

---

What should be chosen as the most stable of them? Choose 3.

---

## 1
Entry from Alexandria: a geometry-optimized HoScSn2 structure (GGA-PBE).

Computed properties:
Symmetry ... Fm-3m, No. 225

Cell: 5.222 5.222 5.222 Å, 60.00 60.00 60.00°
Positions (direct):
Ho1 0.000 0.000 0.000
Sc1 0.500 0.500 0.500
Sn1 0.250 0.250 0.250
Sn2 0.750 0.750 0.750

---

## 2
Entry from Alexandria: a geometry-optimized HoScSn2 structure (GGA-PBE).

Computed properties:
Symmetry ... Pmc2_1, No. 26

Cell: 4.216 5.969 8.156 Å, 90.00 90.00 90.00°
Positions (direct):
Ho1 0.000 0.123 0.000
Ho2 0.000 0.877 0.500
Sc1 0.500 0.379 0.632
Sc2 0.500 0.621 0.132
Sn1 0.000 0.413 0.361
Sn2 0.000 0.587 0.861
Sn3 0.500 0.085 0.271
Sn4 0.500 0.915 0.771

---

What should be chosen as the most stable of them? Choose 2.

---

## 1
Entry from Alexandria: a geometry-optimized Ho2ScSn structure (GGA-PBE).

Computed properties:
Symmetry ... P4/mmm, No. 123

Cell: 4.079 4.079 6.430 Å, 90.00 90.00 90.00°
Positions (direct):
Ho1 0.000 0.000 0.242
Ho2 0.000 0.000 0.758
Sc1 0.500 0.500 0.500
Sn1 0.500 0.500 0.000

---

## 2
Entry from Alexandria: a geometry-optimized Ho2ScSn structure (GGA-PBE).

Computed properties:
Symmetry ... P4/mmm, No. 123

Cell: 4.683 4.683 4.710 Å, 90.00 90.00 90.00°
Positions (direct):
Ho1 0.000 0.500 0.000
Ho2 0.500 0.000 0.000
Sc1 0.000 0.000 0.500
Sn1 0.500 0.500 0.500

---

What should be chosen as the most stable of them? Choose 2.

---

## 1
Entry from Alexandria: a geometry-optimized HoScSn structure (GGA-PBE).

Computed properties:
Symmetry ... P-3m1, No. 164

Cell: 4.986 4.986 7.243 Å, 90.00 90.00 120.00°
Positions (direct):
Ho1 0.333 0.667 0.381
Ho2 0.667 0.333 0.619
Sc1 0.333 0.667 0.895
Sc2 0.667 0.333 0.105
Sn1 0.000 0.000 0.227
Sn2 0.000 0.000 0.773

---

## 2
Entry from Alexandria: a geometry-optimized HoScSn structure (GGA-PBE).

Computed properties:
Symmetry ... I4mm, No. 107

Cell: 5.985 5.985 5.985 Å, 143.10 143.10 53.18°
Positions (direct):
Ho1 0.000 0.000 0.000
Sc1 0.685 0.685 0.000
Sn1 0.327 0.327 0.000

---

What should be chosen as the most stable of them? Choose 2.

---

## 1
Entry from Alexandria: a geometry-optimized HoScSn structure (GGA-PBE).

Computed properties:
Symmetry ... P4/nmm, No. 129

Cell: 4.401 4.401 8.128 Å, 90.00 90.00 90.00°
Positions (direct):
Ho1 0.250 0.250 0.156
Ho2 0.750 0.750 0.844
Sc1 0.250 0.750 0.500
Sc2 0.750 0.250 0.500
Sn1 0.250 0.250 0.765
Sn2 0.750 0.750 0.235

---

## 2
Entry from Alexandria: a geometry-optimized HoScSn structure (GGA-PBE).

Computed properties:
Symmetry ... P3m1, No. 156

Cell: 4.933 4.933 3.736 Å, 90.00 90.00 120.00°
Positions (direct):
Ho1 0.000 0.000 0.000
Sc1 0.667 0.333 0.526
Sn1 0.333 0.667 0.424

---

What should be chosen as the most stable of them? Choose 1.

---

## 1
Entry from Alexandria: a geometry-optimized HoSc2Ta structure (GGA-PBE).

Computed properties:
Symmetry ... P4/mmm, No. 123

Cell: 3.688 3.688 6.967 Å, 90.00 90.00 90.00°
Positions (direct):
Ho1 0.000 0.000 0.000
Sc1 0.500 0.500 0.292
Sc2 0.500 0.500 0.708
Ta1 0.000 0.000 0.500

---

## 2
Entry from Alexandria: a geometry-optimized HoSc2Ta structure (GGA-PBE).

Computed properties:
Symmetry ... R-3m, No. 166

Cell: 10.870 10.870 10.870 Å, 16.86 16.86 16.86°
Positions (direct):
Ho1 0.000 0.000 0.000
Sc1 0.241 0.241 0.241
Sc2 0.759 0.759 0.759
Ta1 0.500 0.500 0.500

---

What should be chosen as the most stable of them? Choose 2.

---

## 1
Entry from Alexandria: a geometry-optimized Tb6Ho2Sc structure (GGA-PBE).

Computed properties:
Symmetry ... C2/m, No. 12

Cell: 6.089 6.089 10.565 Å, 106.83 106.83 48.22°
Positions (direct):
Tb1 0.163 0.163 0.219
Tb2 0.166 0.166 0.555
Tb3 0.168 0.168 0.891
Tb4 0.832 0.832 0.109
Tb5 0.834 0.834 0.445
Tb6 0.837 0.837 0.781
Ho1 0.498 0.498 0.330
Ho2 0.502 0.502 0.670
Sc1 0.500 0.500 0.000

---

## 2
Entry from Alexandria: a geometry-optimized Tb6Ho2Sc structure (GGA-PBE).

Computed properties:
Symmetry ... C2/c, No. 15

Cell: 9.835 9.835 6.087 Å, 94.80 94.80 71.52°
Positions (direct):
Tb1 0.095 0.809 0.989
Tb2 0.150 0.434 0.148
Tb3 0.191 0.905 0.511
Tb4 0.250 0.524 0.675
Tb5 0.434 0.150 0.648
Tb6 0.476 0.750 0.825
Tb7 0.524 0.250 0.175
Tb8 0.566 0.850 0.352
Tb9 0.750 0.476 0.325
Tb10 0.809 0.095 0.489
Tb11 0.850 0.566 0.852
Tb12 0.905 0.191 0.011
Ho1 0.071 0.268 0.572
Ho2 0.268 0.071 0.072
Ho3 0.732 0.929 0.928
Ho4 0.929 0.732 0.428
Sc1 0.398 0.602 0.250
Sc2 0.602 0.398 0.750

---

What should be chosen as the most stable of them? Choose 1.